Here is an optimized crystal structure of CaMg2Sb from Alexandria. Energies are from PBEsol.

Results
Energy above the most stable polymorph in this dataset, meV per atom: 197
ΔE_f (raw), eV per atom: -0.1510

a b c (Å): 5.2712 5.2712 5.2712
angles (deg): 60.00 60.00 60.00
Last column: nearest neighbours and their distance in Å.
Positions (direct):
Ca1 0.0000 0.0000 0.0000  8 Mg 3.23
Mg1 0.2500 0.2500 0.2500  4 Sb 3.23, 4 Ca 3.23
Mg2 0.7500 0.7500 0.7500  4 Sb 3.23, 4 Ca 3.23
Sb1 0.5000 0.5000 0.5000  8 Mg 3.23

***

Here is an optimized crystal structure of YSc2In from Alexandria. Energies are from PBEsol.

Results
Total DFT energy (no corrections), eV per formula unit: -24.00

a b c (Å): 3.3693 3.3693 8.5811
angles (deg): 90.00 90.00 90.00
Last column: nearest neighbours and their distance in Å.
Positions (direct):
Y1 0.0000 0.0000 0.0000  8 Sc 3.35, 4 Y 3.37
Sc1 0.5000 0.5000 0.2746  4 In 3.07, 4 Y 3.35, 4 Sc 3.37
Sc2 0.5000 0.5000 0.7254  4 In 3.07, 4 Y 3.35, 4 Sc 3.37
In1 0.0000 0.0000 0.5000  8 Sc 3.07, 4 In 3.37

***

Here is an optimized crystal structure of TaNiSeBr2 from Alexandria. Energies are from PBEsol.

Results
ΔE_f (raw), eV per atom: 0.5341

a b c (Å): 5.0245 5.0245 4.9680
angles (deg): 90.00 90.00 90.00
Last column: nearest neighbours and their distance in Å.
Positions (direct):
Ta1 0.0000 0.0000 0.0000  2 Se 2.48, 4 Br 2.51
Ni1 0.5000 0.5000 0.5000  8 Br 3.53, 4 Se 3.55
Se1 0.0000 0.0000 0.5000  2 Ta 2.48
Br1 0.0000 0.5000 0.0000  2 Ta 2.51
Br2 0.5000 0.0000 0.0000  2 Ta 2.51

***

Here is an optimized crystal structure of Si3MoRu from Alexandria. Energies are from PBEsol.

Results
ΔE_f (raw), eV per atom: 1.2187

a b c (Å): 4.5807 4.5807 4.5807
angles (deg): 90.00 90.00 90.00
Last column: nearest neighbours and their distance in Å.
Positions (direct):
Si1 0.0000 0.0000 0.5000  2 Mo 2.29
Si2 0.0000 0.5000 0.0000  2 Mo 2.29
Si3 0.5000 0.0000 0.0000  2 Mo 2.29
Mo1 0.0000 0.0000 0.0000  6 Si 2.29
Ru1 0.5000 0.5000 0.5000  12 Si 3.24

***

Here is an optimized crystal structure of SrCa2Se from Alexandria. Energies are from PBEsol.

Results
ΔE_f (raw), eV per atom: -0.5878

a b c (Å): 6.9584 6.9584 6.9584
angles (deg): 141.05 141.05 56.27
Last column: nearest neighbours and their distance in Å.
Positions (direct):
Sr1 0.0000 0.0000 0.0000  4 Se 3.28
Ca1 0.2500 0.7500 0.5000  4 Ca 3.28
Ca2 0.7500 0.2500 0.5000  4 Ca 3.28
Se1 0.5000 0.5000 0.0000  4 Sr 3.28

***

Here is an optimized crystal structure of TaFeSe2 from Alexandria. Energies are from PBEsol.

Results
Energy above the most stable polymorph in this dataset, meV per atom: 291
ΔE_f (raw), eV per atom: -0.0003

a b c (Å): 4.1633 3.1316 5.2014
angles (deg): 90.00 112.15 90.00
Last column: nearest neighbours and their distance in Å.
Positions (direct):
Ta1 0.0000 0.0000 0.0000  6 Se 2.60
Fe1 0.5000 0.5000 0.5000  6 Se 2.60
Se1 0.0000 0.0000 0.5000  2 Ta 2.60, 4 Fe 2.60
Se2 0.5000 0.5000 0.0000  2 Fe 2.60, 4 Ta 2.60